[1]
This record from Alexandria describes a relaxed structure of In7Sn3Pb2. The functional is GGA-PBE.

Calculated values
- E_form: 47 kJ/mol of formula units
- Space group: No. 10
- D(E_F): 4.47 states/eV/f.u.
- Energy: -38.11 eV/cell

a = 3.252 Å, b = 6.173 Å, c = 17.509 Å
α = 77.11°, β = 90.00°, γ = 90.00°
Fractional positions:
Sn 0.000 0.247 0.322
Sn 0.000 0.753 0.678
Sn 0.500 0.500 0.000
In 0.000 0.620 0.161
In 0.500 0.116 0.159
In 0.000 0.380 0.839
In 0.000 0.000 0.000
In 0.500 0.258 0.483
In 0.500 0.742 0.517
In 0.500 0.884 0.841
Pb 0.500 0.253 0.671
Pb 0.500 0.747 0.329

---

[2]
This record from Alexandria describes a relaxed structure of KTl2Zn2. The functional is GGA-PBE.

Calculated values
- Polymorph energy (0 for the lowest one): 0.67 kcal/mol of atoms
- E_form: 22 kJ/mol of formula units
- Space group: No. 139
- D(E_F): 2.39 states/eV/f.u.
- Energy: -8.15 eV/cell

a = 4.835 Å, b = 4.835 Å, c = 7.027 Å
α = 69.88°, β = 69.88°, γ = 90.00°
Fractional positions:
Tl 0.629 0.629 0.742
Tl 0.371 0.371 0.258
Zn 0.750 0.250 0.500
Zn 0.250 0.750 0.500
K 0.000 0.000 0.000

---

[3]
This record from Alexandria describes a relaxed structure of YCr2Ir. The functional is GGA-PBE.

Calculated values
- Polymorph energy (0 for the lowest one): 0.00 kcal/mol of atoms
- E_form: 33 kJ/mol of formula units
- Space group: No. 216
- D(E_F): 4.13 states/eV/f.u.
- Energy: -34.23 eV/cell

a = 4.606 Å, b = 4.606 Å, c = 4.606 Å
α = 60.00°, β = 60.00°, γ = 60.00°
Fractional positions:
Y 0.750 0.750 0.750
Cr 0.250 0.250 0.250
Cr 0.000 0.000 0.000
Ir 0.500 0.500 0.500

---

[4]
This record from Alexandria describes a relaxed structure of Ta3NbAu. The functional is GGA-PBE.

Calculated values
- Polymorph energy (0 for the lowest one): 37.88 kcal/mol of atoms
- E_form: 789 kJ/mol of formula units
- Space group: No. 221
- D(E_F): 6.25 states/eV/f.u.
- Energy: -40.72 eV/cell

a = 4.849 Å, b = 4.849 Å, c = 4.849 Å
α = 90.00°, β = 90.00°, γ = 90.00°
Fractional positions:
Ta 0.500 0.000 0.000
Ta 0.000 0.000 0.500
Ta 0.000 0.500 0.000
Au 0.500 0.500 0.500
Nb 0.000 0.000 0.000

---

[5]
This record from Alexandria describes a relaxed structure of ScTa2Pb. The functional is GGA-PBE.

Calculated values
- E_form: 176 kJ/mol of formula units
- Space group: No. 123
- D(E_F): 4.73 states/eV/f.u.
- Energy: -31.92 eV/cell

a = 3.022 Å, b = 3.022 Å, c = 9.335 Å
α = 90.00°, β = 90.00°, γ = 90.00°
Fractional positions:
Pb 0.500 0.500 0.250
Ta 0.000 0.000 0.991
Ta 0.000 0.000 0.509
Sc 0.500 0.500 0.750

---

[6]
This record from Alexandria describes a relaxed structure of Pr7Sm16Ho6. The functional is GGA-PBE.

Calculated values
- E_form: 683 kJ/mol of formula units
- Space group: No. 225
- D(E_F): 44.25 states/eV/f.u.
- Energy: -129.35 eV/cell

a = 11.350 Å, b = 11.350 Å, c = 11.350 Å
α = 60.00°, β = 60.00°, γ = 60.00°
Fractional positions:
Sm 0.651 0.047 0.651
Sm 0.349 0.349 0.349
Sm 0.621 0.126 0.126
Sm 0.874 0.379 0.874
Sm 0.953 0.349 0.349
Sm 0.047 0.651 0.651
Sm 0.126 0.621 0.126
Sm 0.349 0.349 0.953
Sm 0.126 0.126 0.621
Sm 0.379 0.874 0.874
Sm 0.651 0.651 0.651
Sm 0.126 0.126 0.126
Sm 0.349 0.953 0.349
Sm 0.651 0.651 0.047
Sm 0.874 0.874 0.874
Sm 0.874 0.874 0.379
Ho 0.737 0.737 0.263
Ho 0.737 0.263 0.263
Ho 0.263 0.737 0.737
Ho 0.737 0.263 0.737
Ho 0.263 0.737 0.263
Ho 0.263 0.263 0.737
Pr 0.000 0.500 0.000
Pr 0.000 0.000 0.000
Pr 0.500 0.000 0.500
Pr 0.500 0.500 0.000
Pr 0.000 0.000 0.500
Pr 0.000 0.500 0.500
Pr 0.500 0.000 0.000

---

[7]
This record from Alexandria describes a relaxed structure of RbTl2C2O6. The functional is GGA-PBE.

Calculated values
- Formation energy from raw total energies: -1.2827 eV/atom
- Space group: No. 2
- D(E_F): 3.32 states/eV/f.u.
- Energy: -68.01 eV/cell

a = 5.648 Å, b = 5.583 Å, c = 8.098 Å
α = 109.89°, β = 89.86°, γ = 59.94°
Fractional positions:
O 0.166 0.939 0.232
O 0.293 0.866 0.765
O 0.834 0.061 0.768
O 0.900 0.400 0.228
O 0.707 0.134 0.235
O 0.100 0.600 0.772
C 0.076 0.843 0.769
C 0.924 0.157 0.231
Rb 0.500 0.000 0.500
Tl 0.690 0.614 0.920
Tl 0.310 0.386 0.080

---

[8]
This record from Alexandria describes a relaxed structure of ZnBiN3. The functional is GGA-PBE.

Calculated values
- Formation energy from raw total energies: 2.1360 eV/atom
- Space group: No. 221
- D(E_F): 3.51 states/eV/f.u.
- Energy: -19.45 eV/cell

a = 4.311 Å, b = 4.311 Å, c = 4.311 Å
α = 90.00°, β = 90.00°, γ = 90.00°
Fractional positions:
Bi 0.000 0.000 0.000
Zn 0.500 0.500 0.500
N 0.000 0.000 0.500
N 0.000 0.500 0.000
N 0.500 0.000 0.000

---

[9]
This record from Alexandria describes a relaxed structure of NaTiNF2. The functional is GGA-PBE.

Calculated values
- Polymorph energy (0 for the lowest one): 33.79 kcal/mol of atoms
- Formation energy from raw total energies: -0.6167 eV/atom
- Space group: No. 123
- D(E_F): 3.73 states/eV/f.u.
- Energy: -24.37 eV/cell

a = 3.766 Å, b = 3.766 Å, c = 4.423 Å
α = 90.00°, β = 90.00°, γ = 90.00°
Fractional positions:
Na 0.000 0.000 0.000
N 0.000 0.000 0.500
Ti 0.500 0.500 0.500
F 0.500 0.000 0.000
F 0.000 0.500 0.000

---

[10]
This record from Alexandria describes a relaxed structure of AuSN2F. The functional is GGA-PBE.

Calculated values
- Polymorph energy (0 for the lowest one): 13.13 kcal/mol of atoms
- Formation energy from raw total energies: 1.7527 eV/atom
- Space group: No. 123
- D(E_F): 3.41 states/eV/f.u.
- Energy: -17.16 eV/cell

a = 4.103 Å, b = 4.103 Å, c = 4.234 Å
α = 90.00°, β = 90.00°, γ = 90.00°
Fractional positions:
F 0.000 0.000 0.500
N 0.500 0.000 0.000
N 0.000 0.500 0.000
S 0.500 0.500 0.500
Au 0.000 0.000 0.000

---

[11]
This record from Alexandria describes a relaxed structure of ErPN. The functional is GGA-PBE.

Calculated values
- Formation energy from raw total energies: -0.6376 eV/atom
- Space group: No. 12
- D(E_F): 1.18 states/eV/f.u.
- Energy: -40.42 eV/cell

a = 3.178 Å, b = 7.440 Å, c = 6.294 Å
α = 132.57°, β = 104.62°, γ = 90.00°
Fractional positions:
Er 0.561 0.883 0.121
Er 0.439 0.117 0.879
N 0.863 0.823 0.727
N 0.137 0.177 0.273
P 0.676 0.660 0.352
P 0.324 0.340 0.648

---

[12]
This record from Alexandria describes a relaxed structure of La8Sb2Ru. The functional is GGA-PBE.

Calculated values
- Formation energy from raw total energies: -0.4849 eV/atom
- Space group: No. 12
- D(E_F): 13.93 states/eV/f.u.
- Energy: -62.27 eV/cell

a = 5.534 Å, b = 6.955 Å, c = 10.108 Å
α = 111.63°, β = 105.89°, γ = 90.00°
Fractional positions:
La 0.006 0.783 0.013
La 0.220 0.299 0.439
La 0.994 0.217 0.987
La 0.644 0.965 0.288
La 0.780 0.701 0.561
La 0.588 0.424 0.177
La 0.356 0.035 0.712
La 0.412 0.576 0.823
Sb 0.169 0.710 0.339
Sb 0.831 0.290 0.661
Ru 0.500 0.000 0.000

---

[13]
This record from Alexandria describes a relaxed structure of LaCo2GeC. The functional is GGA-PBE.

Calculated values
- E_form: -187 kJ/mol of formula units
- Space group: No. 63
- D(E_F): 3.08 states/eV/f.u.
- Energy: -69.83 eV/cell

a = 4.005 Å, b = 5.776 Å, c = 6.913 Å
α = 90.00°, β = 90.00°, γ = 110.28°
Fractional positions:
Co 0.841 0.683 0.442
Co 0.841 0.683 0.058
Co 0.159 0.317 0.942
Co 0.159 0.317 0.558
Ge 0.725 0.449 0.750
Ge 0.275 0.551 0.250
C 0.000 0.000 0.500
C 0.000 0.000 0.000
La 0.442 0.885 0.750
La 0.558 0.115 0.250

---

[14]
This record from Alexandria describes a relaxed structure of HfMg3Cl. The functional is GGA-PBE.

Calculated values
- Polymorph energy (0 for the lowest one): 0.00 kcal/mol of atoms
- Formation energy from raw total energies: 0.3360 eV/atom
- Space group: No. 221
- D(E_F): 4.03 states/eV/f.u.
- Energy: -14.90 eV/cell

a = 4.929 Å, b = 4.929 Å, c = 4.929 Å
α = 90.00°, β = 90.00°, γ = 90.00°
Fractional positions:
Mg 0.500 0.000 0.000
Mg 0.000 0.500 0.000
Mg 0.000 0.000 0.500
Cl 0.000 0.000 0.000
Hf 0.500 0.500 0.500

---

[15]
This record from Alexandria describes a relaxed structure of SmLuMgCo. The functional is GGA-PBE.

Calculated values
- E_form: 2 kJ/mol of formula units
- Space group: No. 216
- D(E_F): 2.50 states/eV/f.u.
- Energy: -17.92 eV/cell

a = 5.019 Å, b = 5.019 Å, c = 5.019 Å
α = 60.00°, β = 60.00°, γ = 60.00°
Fractional positions:
Lu 0.500 0.500 0.500
Mg 0.250 0.250 0.250
Sm 0.000 0.000 0.000
Co 0.750 0.750 0.750

---

[16]
This record from Alexandria describes a relaxed structure of LiNpCu2Se4. The functional is GGA-PBE.

Calculated values
- Formation energy from raw total energies: -0.5800 eV/atom
- Space group: No. 23
- D(E_F): 10.44 states/eV/f.u.
- Energy: -41.62 eV/cell

a = 6.689 Å, b = 5.941 Å, c = 5.941 Å
α = 68.14°, β = 55.73°, γ = 55.73°
Fractional positions:
Se 0.096 0.909 0.470
Se 0.475 0.091 0.530
Se 0.904 0.530 0.091
Se 0.525 0.470 0.909
Cu 0.193 0.307 0.307
Cu 0.807 0.693 0.693
Np 0.000 0.000 0.000
Li 0.500 0.500 0.500

---

[17]
This record from Alexandria describes a relaxed structure of PrC. The functional is GGA-PBE.

Calculated values
- Polymorph energy (0 for the lowest one): 8.83 kcal/mol of atoms
- E_form: 50 kJ/mol of formula units
- Space group: No. 11
- D(E_F): 0.79 states/eV/f.u.
- Energy: -26.97 eV/cell

a = 3.597 Å, b = 3.043 Å, c = 7.203 Å
α = 90.00°, β = 104.37°, γ = 90.00°
Fractional positions:
Pr 0.613 0.250 0.232
Pr 0.387 0.750 0.768
C 0.956 0.250 0.946
C 0.044 0.750 0.054

---

[18]
This record from Alexandria describes a relaxed structure of V2BrN. The functional is GGA-PBE.

Calculated values
- Polymorph energy (0 for the lowest one): 18.12 kcal/mol of atoms
- Formation energy from raw total energies: 0.5690 eV/atom
- Space group: No. 225
- D(E_F): 2.94 states/eV/f.u.
- Energy: -25.96 eV/cell

a = 4.093 Å, b = 4.093 Å, c = 4.093 Å
α = 60.00°, β = 60.00°, γ = 60.00°
Fractional positions:
V 0.750 0.750 0.750
V 0.250 0.250 0.250
Br 0.500 0.500 0.500
N 0.000 0.000 0.000

---

[19]
This record from Alexandria describes a relaxed structure of La14Co3Pt6. The functional is GGA-PBE.

Calculated values
- E_form: -1510 kJ/mol of formula units
- Space group: No. 156
- D(E_F): 23.13 states/eV/f.u.
- Energy: -142.20 eV/cell

a = 7.112 Å, b = 10.237 Å, c = 10.237 Å
α = 120.00°, β = 90.00°, γ = 90.00°
Fractional positions:
Pt 0.274 0.296 0.148
Pt 0.779 0.480 0.961
Pt 0.274 0.852 0.148
Pt 0.274 0.852 0.704
Pt 0.779 0.039 0.519
Pt 0.779 0.481 0.520
La 0.450 0.000 0.000
La 0.523 0.209 0.417
La 0.197 0.535 0.465
La 0.680 0.796 0.591
La 0.959 0.333 0.667
La 0.523 0.208 0.791
La 0.016 0.124 0.248
La 0.197 0.930 0.465
La 0.197 0.535 0.070
La 0.680 0.795 0.204
La 0.523 0.583 0.792
La 0.016 0.752 0.876
La 0.680 0.409 0.205
La 0.016 0.124 0.876
Co 0.424 0.667 0.333
Co 0.303 0.333 0.667
Co 0.798 0.000 0.000

---

[20]
This record from Alexandria describes a relaxed structure of Pa2Si3Pd6. The functional is GGA-PBE.

Calculated values
- Formation energy from raw total energies: -0.6934 eV/atom
- Space group: No. 189
- D(E_F): 7.78 states/eV/f.u.
- Energy: -74.05 eV/cell

a = 4.254 Å, b = 7.301 Å, c = 7.301 Å
α = 120.00°, β = 90.00°, γ = 90.00°
Fractional positions:
Si 0.500 0.000 0.633
Si 0.500 0.367 0.367
Si 0.500 0.633 0.000
Pa 0.000 0.667 0.333
Pa 0.000 0.333 0.667
Pd 0.500 0.312 0.000
Pd 0.000 0.784 0.000
Pd 0.000 0.000 0.784
Pd 0.500 0.688 0.688
Pd 0.500 0.000 0.312
Pd 0.000 0.216 0.216

---

[21]
This record from Alexandria describes a relaxed structure of La2HfIr. The functional is GGA-PBE.

Calculated values
- E_form: 22 kJ/mol of formula units
- Space group: No. 122
- D(E_F): 6.16 states/eV/f.u.
- Energy: -56.88 eV/cell

a = 8.553 Å, b = 8.553 Å, c = 6.759 Å
α = 50.75°, β = 50.75°, γ = 90.00°
Fractional positions:
La 0.067 0.625 0.250
La 0.375 0.317 0.750
La 0.875 0.933 0.750
La 0.683 0.125 0.250
Ir 0.000 0.000 0.000
Ir 0.750 0.250 0.500
Hf 0.250 0.750 0.500
Hf 0.500 0.500 0.000

---

[22]
This record from Alexandria describes a relaxed structure of LiScAg2. The functional is GGA-PBE.

Calculated values
- E_form: -88 kJ/mol of formula units
- Space group: No. 10
- D(E_F): 2.55 states/eV/f.u.
- Energy: -14.86 eV/cell

a = 3.343 Å, b = 3.280 Å, c = 7.417 Å
α = 63.24°, β = 90.00°, γ = 90.00°
Fractional positions:
Sc 0.500 0.750 0.750
Li 0.500 0.250 0.250
Ag 0.000 0.975 0.023
Ag 0.000 0.525 0.477

---

[23]
This record from Alexandria describes a relaxed structure of MnTlTe2. The functional is GGA-PBE.

Calculated values
- Formation energy from raw total energies: -0.0162 eV/atom
- Space group: No. 58
- D(E_F): 4.64 states/eV/f.u.
- Energy: -71.54 eV/cell

a = 17.569 Å, b = 6.234 Å, c = 5.714 Å
α = 90.00°, β = 130.58°, γ = 90.00°
Fractional positions:
Mn 0.000 0.500 0.754
Mn 0.500 0.000 0.254
Mn 0.000 0.500 0.246
Mn 0.500 0.000 0.746
Te 0.617 0.795 0.234
Te 0.572 0.287 0.644
Te 0.072 0.213 0.144
Te 0.883 0.295 0.266
Te 0.117 0.705 0.734
Te 0.428 0.713 0.356
Te 0.383 0.205 0.766
Te 0.928 0.787 0.856
Tl 0.776 0.787 0.052
Tl 0.724 0.287 0.448
Tl 0.224 0.213 0.948
Tl 0.276 0.713 0.552

---

[24]
This record from Alexandria describes a relaxed structure of Tb3CuAg. The functional is GGA-PBE.

Calculated values
- Polymorph energy (0 for the lowest one): 4.42 kcal/mol of atoms
- E_form: 1 kJ/mol of formula units
- Space group: No. 38
- D(E_F): 5.80 states/eV/f.u.
- Energy: -41.66 eV/cell

a = 3.773 Å, b = 8.950 Å, c = 8.959 Å
α = 64.62°, β = 90.00°, γ = 90.00°
Fractional positions:
Cu 0.363 0.694 0.246
Cu 0.364 0.194 0.746
Ag 0.363 0.694 0.746
Ag 0.863 0.194 0.247
Tb 0.864 0.001 0.670
Tb 0.363 0.356 0.408
Tb 0.863 0.771 0.439
Tb 0.864 0.387 0.823
Tb 0.863 0.617 0.054
Tb 0.363 0.033 0.085